[1]
## ReGeNO (PBE)

Data for ReGeNO after structural relaxation.

a b c (Å): 3.749 3.749 8.122
angles (deg): 90.00 90.00 90.00
Element x y z (fractional)
Re  0.500  0.500  0.500
Ge  0.500  0.000  0.877
N  0.500  0.000  0.399
Re  0.000  0.000  0.500
O  0.000  0.000  0.000
N  0.000  0.500  0.601
Ge  0.000  0.500  0.123
O  0.500  0.500  0.000

Results
VASP energy	-7.596	eV/atom
ΔE to the lowest computed polymorph	1.03	eV per formula unit
calculated volume	14.27	Å³/atom
SG	P4/nmm, No. 129

[2]
## LiY2Ir (PBE)

Data for LiY2Ir after structural relaxation.

a b c (Å): 7.320 7.344 7.447
angles (deg): 90.00 90.00 90.00
Element x y z (fractional)
Y  0.833  0.004  0.831
Ir  0.374  0.750  0.375
Y  0.667  0.496  0.331
Ir  0.126  0.750  0.875
Y  0.333  0.996  0.669
Li  0.977  0.250  0.486
Li  0.023  0.750  0.514
Y  0.167  0.996  0.169
Ir  0.874  0.250  0.125
Y  0.833  0.496  0.831
Y  0.667  0.004  0.331
Ir  0.626  0.250  0.625
Y  0.333  0.504  0.669
Li  0.477  0.750  0.014
Li  0.523  0.250  0.986
Y  0.167  0.504  0.169

Results
VASP energy	-6.382	eV/atom
calculated volume	25.02	Å³/atom
SG	Pnma, No. 62

[3]
## LuPaPd (PBE)

Data for LuPaPd after structural relaxation.

a b c (Å): 4.809 4.809 4.809
angles (deg): 60.00 60.00 60.00
Element x y z (fractional)
Pd  0.000  0.000  0.000
Lu  0.250  0.250  0.250
Pa  0.750  0.750  0.750

Results
energy of formation	-0.0336	eV per atom
VASP energy	-6.432	eV/atom
ΔE to the lowest computed polymorph	0.00	eV per formula unit
calculated volume	26.22	Å³/atom
SG	F-43m, No. 216

[4]
## KTm2Cu3Se5 (PBE)

Data for KTm2Cu3Se5 after structural relaxation.

a b c (Å): 4.088 7.471 16.786
angles (deg): 90.00 90.00 74.12
Element x y z (fractional)
Se  0.251  0.498  0.750
Tm  0.192  0.617  0.907
Cu  0.340  0.319  0.250
Cu  0.416  0.169  0.970
Se  0.440  0.119  0.381
Se  0.560  0.881  0.881
Cu  0.584  0.831  0.030
Se  0.440  0.119  0.119
Tm  0.808  0.383  0.407
Tm  0.808  0.383  0.093
K  0.939  0.123  0.750
Cu  0.584  0.831  0.470
Tm  0.192  0.617  0.593
Se  0.167  0.666  0.427
Se  0.833  0.334  0.927
Se  0.167  0.666  0.073
Se  0.560  0.881  0.619
K  0.061  0.877  0.250
Se  0.833  0.334  0.573
Cu  0.416  0.169  0.530
Se  0.749  0.502  0.250
Cu  0.660  0.681  0.750

Results
VASP energy	-4.632	eV/atom
calculated volume	22.41	Å³/atom
SG	Cmcm, No. 63

[5]
## HfMgBe2 (PBE)

Data for HfMgBe2 after structural relaxation.

a b c (Å): 4.370 4.370 4.370
angles (deg): 60.00 60.00 60.00
Element x y z (fractional)
Hf  0.500  0.500  0.500
Be  0.000  0.000  0.000
Mg  0.750  0.750  0.750
Be  0.250  0.250  0.250

Results
VASP energy	-4.320	eV/atom
calculated volume	14.75	Å³/atom
SG	F-43m, No. 216

[6]
## YThAl (PBE)

Data for YThAl after structural relaxation.

a b c (Å): 5.072 5.072 5.072
angles (deg): 60.00 60.00 60.00
Element x y z (fractional)
Y  0.750  0.750  0.750
Th  0.250  0.250  0.250
Al  0.000  0.000  0.000

Results
VASP energy	-5.833	eV/atom
ΔE to the lowest computed polymorph	0.00	eV per formula unit
calculated volume	30.76	Å³/atom
SG	F-43m, No. 216

[7]
## Cu7Ag (PBE)

Data for Cu7Ag after structural relaxation.

a b c (Å): 3.692 3.692 7.353
angles (deg): 90.00 90.00 90.00
Element x y z (fractional)
Cu  0.000  0.500  0.737
Cu  0.500  0.500  0.500
Cu  0.500  0.500  0.000
Ag  0.000  0.000  0.000
Cu  0.500  0.000  0.263
Cu  0.500  0.000  0.737
Cu  0.000  0.000  0.500
Cu  0.000  0.500  0.263

Results
energy of formation	0.0458	eV per atom
VASP energy	-3.560	eV/atom
ΔE to the lowest computed polymorph	0.03	eV per formula unit
calculated volume	12.53	Å³/atom
SG	P4/mmm, No. 123

[8]
## Ta5Al24 (PBE)

Data for Ta5Al24 after structural relaxation.

a b c (Å): 8.448 8.448 8.448
angles (deg): 109.47 109.47 109.47
Element x y z (fractional)
Ta  0.000  0.000  0.640
Al  0.000  0.189  0.375
Al  0.000  0.682  0.404
Al  0.318  0.318  0.723
Al  0.682  0.000  0.404
Al  0.596  0.596  0.277
Ta  0.360  0.360  0.360
Ta  0.000  0.000  0.000
Al  0.814  0.625  0.625
Al  0.189  0.000  0.375
Al  0.625  0.814  0.625
Al  0.375  0.189  0.000
Al  0.318  0.723  0.318
Al  0.404  0.000  0.682
Al  0.682  0.404  0.000
Al  0.811  0.811  0.186
Ta  0.640  0.000  0.000
Al  0.000  0.404  0.682
Al  0.277  0.596  0.596
Al  0.189  0.375  0.000
Al  0.000  0.375  0.189
Al  0.723  0.318  0.318
Al  0.375  0.000  0.189
Ta  0.000  0.640  0.000
Al  0.404  0.682  0.000
Al  0.596  0.277  0.596
Al  0.811  0.186  0.811
Al  0.186  0.811  0.811
Al  0.625  0.625  0.814

Results
VASP energy	-5.225	eV/atom
calculated volume	16.00	Å³/atom
SG	I-43m, No. 217

[9]
## Zr4CoP (PBE)

Data for Zr4CoP after structural relaxation.

a b c (Å): 6.411 6.411 5.424
angles (deg): 90.00 90.00 90.00
Element x y z (fractional)
Zr  0.332  0.840  0.500
Zr  0.840  0.332  0.000
P  0.500  0.500  0.750
Co  0.000  0.000  0.250
Co  0.000  0.000  0.750
Zr  0.668  0.840  0.000
Zr  0.160  0.668  0.000
Zr  0.668  0.160  0.500
Zr  0.160  0.332  0.500
Zr  0.840  0.668  0.500
P  0.500  0.500  0.250
Zr  0.332  0.160  0.000

Results
VASP energy	-8.402	eV/atom
calculated volume	18.57	Å³/atom
SG	P4/mcc, No. 124

[10]
## Y2Hf4Sn3N3 (PBE)

Data for Y2Hf4Sn3N3 after structural relaxation.

a b c (Å): 5.836 5.836 15.001
angles (deg): 101.37 101.37 59.95
Element x y z (fractional)
Sn  0.043  0.957  0.750
Y  0.467  0.628  0.904
Y  0.372  0.533  0.596
Hf  0.979  0.799  0.419
N  0.675  0.150  0.500
Hf  0.021  0.201  0.581
Y  0.628  0.467  0.404
Sn  0.211  0.415  0.248
Sn  0.957  0.043  0.250
Sn  0.789  0.585  0.752
N  0.500  0.000  0.000
Sn  0.585  0.789  0.252
N  0.150  0.675  0.000
Y  0.533  0.372  0.096
Hf  0.799  0.979  0.919
Hf  0.201  0.021  0.081
N  0.850  0.325  0.000
Hf  0.695  0.854  0.581
Hf  0.305  0.146  0.419
N  0.325  0.850  0.500
Hf  0.854  0.695  0.081
Hf  0.146  0.305  0.919
N  0.000  0.500  0.500
Sn  0.415  0.211  0.748

Results
VASP energy	-8.565	eV/atom
calculated volume	17.94	Å³/atom
SG	C2/c, No. 15

[11]
## YHoMg6 (PBE)

Data for YHoMg6 after structural relaxation.

a b c (Å): 5.169 7.276 5.170
angles (deg): 90.00 90.00 90.00
Element x y z (fractional)
Mg  0.000  0.251  0.755
Mg  0.500  0.500  0.746
Ho  0.000  0.500  0.255
Mg  0.500  0.750  0.245
Y  0.500  0.000  0.745
Mg  0.000  0.749  0.755
Mg  0.000  0.000  0.254
Mg  0.500  0.250  0.245

Results
VASP energy	-2.616	eV/atom
ΔE to the lowest computed polymorph	0.00	eV per formula unit
calculated volume	24.31	Å³/atom
SG	Pmm2, No. 25

[12]
## BaTmB4 (PBE)

Data for BaTmB4 after structural relaxation.

a b c (Å): 3.276 3.276 8.688
angles (deg): 90.00 90.00 120.00
Element x y z (fractional)
Tm  0.000  0.000  0.000
B  0.667  0.333  0.788
B  0.333  0.667  0.212
Ba  0.000  0.000  0.500
B  0.667  0.333  0.212
B  0.333  0.667  0.788

Results
VASP energy	-5.642	eV/atom
ΔE to the lowest computed polymorph	0.00	eV per formula unit
calculated volume	13.46	Å³/atom
SG	P6/mmm, No. 191

Copy entry 9 word for word.
## Zr4CoP (PBE)

Data for Zr4CoP after structural relaxation.

a b c (Å): 6.411 6.411 5.424
angles (deg): 90.00 90.00 90.00
Element x y z (fractional)
Zr  0.332  0.840  0.500
Zr  0.840  0.332  0.000
P  0.500  0.500  0.750
Co  0.000  0.000  0.250
Co  0.000  0.000  0.750
Zr  0.668  0.840  0.000
Zr  0.160  0.668  0.000
Zr  0.668  0.160  0.500
Zr  0.160  0.332  0.500
Zr  0.840  0.668  0.500
P  0.500  0.500  0.250
Zr  0.332  0.160  0.000

Results
VASP energy	-8.402	eV/atom
calculated volume	18.57	Å³/atom
SG	P4/mcc, No. 124

Q: The highest calculated volume belongs to which entry?
A: YThAl

Q: What is the formula in the fourth record?
A: KTm2Cu3Se5